Sr2GaSbS5 | PBE | relaxed

Output
ΔE_f (raw) = -1234 meV/atom
uncorrected energy = -4.69 eV per atom

Cell and atoms, written as CIF:
```
data_Sr2GaSbS5
_chemical_formula_sum 'Sr8 Ga4 Sb4 S20'
_cell_length_a 3.9714
_cell_length_b 17.6896
_cell_length_c 12.5841
_cell_angle_alpha 90.00
_cell_angle_beta 90.00
_cell_angle_gamma 90.00
_space_group_name_H-M_alt 'C m c 21'
_space_group_IT_number 36
loop_
_space_group_symop_operation_xyz
'x,y,z'
'-x,-y,z+1/2'
'-x,y,z'
'x,-y,z+1/2'
'x+1/2,y+1/2,z'
'-x+1/2,-y+1/2,z+1/2'
'-x+1/2,y+1/2,z'
'x+1/2,-y+1/2,z+1/2'
loop_
_atom_site_label
_atom_site_type_symbol
_atom_site_fract_x
_atom_site_fract_y
_atom_site_fract_z
_atom_site_occupancy
Sr1 Sr 0.0000 0.1135 0.0000 1
Sr2 Sr 0.0000 0.1263 0.6460 1
Ga1 Ga 0.0000 0.4488 0.7399 1
Sb1 Sb 0.0000 0.2044 0.3511 1
S1 S 0.0000 0.0238 0.3352 1
S2 S 0.0000 0.2865 0.9978 1
S3 S 0.0000 0.3219 0.6910 1
S4 S 0.0000 0.3452 0.3252 1
S5 S 0.0000 0.4932 0.0804 1
```